A geometry-optimized LaCoO3 structure. Source: Alexandria, functional PBE with a Hubbard U.

a b c (Å): 4.415 4.415 4.415
angles (deg): 90.00 90.00 90.00
Each line ends with the local moment (μB).
Fractional positions:
1 La 0.000 0.000 0.000  -0.09
2 O 0.000 0.500 0.000  -0.02
3 O 0.500 0.000 0.000  0.02
4 O 0.000 0.000 0.500  -0.14
5 Co 0.500 0.500 0.500  2.68

Properties
DOS(E_F) = 4.1 states/eV/cell
total energy = -5.8113 eV per atom